Entry w
Sm2Tm5Sc4 after structural relaxation, computed with PBE-GGA.

a = 3.3144 Å, b = 8.9349 Å, c = 12.4865 Å
α = 110.96°, β = 97.63°, γ = 90.00°
Last column: magnetic moment on the atom in μB.
Atoms (fractional coordinates):
Sm1 0.8901 0.8901 0.7803  0.04
Sm2 0.1099 0.1099 0.2197  0.04
Tm1 0.8431 0.1665 0.6862  -0.01
Tm2 0.8431 0.5197 0.6862  -0.01
Tm3 0.1569 0.4803 0.3138  -0.01
Tm4 0.1569 0.8335 0.3138  -0.01
Tm5 0.5000 0.0000 0.0000  0.12
Sc1 0.0000 0.3170 0.0000  0.29
Sc2 0.7583 0.7583 0.5166  -0.04
Sc3 0.0000 0.6830 0.0000  0.29
Sc4 0.2417 0.2417 0.4834  -0.04

Results
Its space group is No. 71.

---

Entry x
Sm2Tm5Sc4 after structural relaxation, computed with PBE-GGA.

a = 3.4458 Å, b = 8.3589 Å, c = 11.2652 Å
α = 82.26°, β = 90.00°, γ = 90.00°
Last column: magnetic moment on the atom in μB.
Atoms (fractional coordinates):
Sm1 0.0000 0.9479 0.6387  0.01
Sm2 0.0000 0.0521 0.3613  0.01
Tm1 0.0000 0.4523 0.2994  0.18
Tm2 0.0000 0.8436 0.1347  0.01
Tm3 0.0000 0.5000 0.0000  0.02
Tm4 0.0000 0.1564 0.8653  0.01
Tm5 0.0000 0.5477 0.7006  0.18
Sc1 0.5000 0.2978 0.5471  0.12
Sc2 0.5000 0.8097 0.8799  0.02
Sc3 0.5000 0.7022 0.4529  0.12
Sc4 0.5000 0.1903 0.1201  0.02

Results
Its space group is No. 10.

---

What should be chosen as the most stable of them? Choose entry x.

---

Entry w
Sm3Tm2Sc2 after structural relaxation, computed with PBE-GGA.

a = 3.4174 Å, b = 8.2853 Å, c = 8.6833 Å
α = 117.91°, β = 101.35°, γ = 90.00°
Atoms (fractional coordinates):
Sm1 0.0000 0.5000 0.0000
Sm2 0.2134 0.7997 0.4267
Sm3 0.7866 0.2003 0.5733
Tm1 0.8613 0.6879 0.7226
Tm2 0.1387 0.3121 0.2774
Sc1 0.5641 0.9116 0.1282
Sc2 0.4359 0.0884 0.8718

Results
Its space group is No. 12.

---

Entry x
Sm3Tm2Sc2 after structural relaxation, computed with PBE-GGA.

a = 5.2159 Å, b = 3.4499 Å, c = 12.0026 Å
α = 90.00°, β = 77.45°, γ = 90.00°
Atoms (fractional coordinates):
Sm1 0.8439 0.0000 0.3123
Sm2 0.0000 0.0000 0.0000
Sm3 0.1561 0.0000 0.6877
Tm1 0.5741 0.5000 0.8519
Tm2 0.4259 0.5000 0.1481
Sc1 0.7157 0.5000 0.5686
Sc2 0.2843 0.5000 0.4314

Results
Its space group is No. 65.

---

What should be chosen as the most stable of them? Choose entry x.

---

Entry w
SmTm3Sc after structural relaxation, computed with PBE-GGA.

a = 3.4841 Å, b = 3.4841 Å, c = 14.2015 Å
α = 82.95°, β = 82.95°, γ = 60.00°
Atoms (fractional coordinates):
Sm1 0.8344 0.8344 0.4969
Tm1 0.2374 0.2374 0.2879
Tm2 0.0313 0.0313 0.9061
Tm3 0.4321 0.4321 0.7036
Sc1 0.6342 0.6342 0.0973

Results
Its space group is No. 160.

---

Entry x
SmTm3Sc after structural relaxation, computed with PBE-GGA.

a = 6.1287 Å, b = 8.9711 Å, c = 11.5625 Å
α = 110.04°, β = 90.00°, γ = 90.00°
Atoms (fractional coordinates):
Sm1 0.6720 0.5513 0.4028
Sm2 0.8280 0.0513 0.9028
Sm3 0.1720 0.9487 0.0972
Sm4 0.3280 0.4487 0.5972
Tm1 0.6630 0.1509 0.2037
Tm2 0.3368 0.6507 0.2020
Tm3 0.8370 0.6509 0.7037
Tm4 0.6700 0.9511 0.5964
Tm5 0.1632 0.1507 0.7020
Tm6 0.1700 0.5489 0.9036
Tm7 0.8300 0.4511 0.0964
Tm8 0.8368 0.8493 0.2980
Tm9 0.3300 0.0489 0.4036
Tm10 0.1630 0.3491 0.2963
Tm11 0.6632 0.3493 0.7980
Tm12 0.3370 0.8491 0.7963
Sc1 0.3338 0.2534 0.0003
Sc2 0.1662 0.7534 0.5003
Sc3 0.8338 0.2466 0.4997
Sc4 0.6662 0.7466 0.9997

Results
Its space group is No. 14.

---

What should be chosen as the most stable of them? Choose entry x.

---

Entry w
Sm2Tm3Sc2 after structural relaxation, computed with PBE-GGA.

a = 5.1599 Å, b = 3.4509 Å, c = 11.8921 Å
α = 90.00°, β = 77.47°, γ = 90.00°
Atoms (fractional coordinates):
Sm1 0.5760 0.5000 0.8480
Sm2 0.4240 0.5000 0.1520
Tm1 0.8429 0.0000 0.3141
Tm2 0.0000 0.0000 0.0000
Tm3 0.1571 0.0000 0.6859
Sc1 0.7167 0.5000 0.5666
Sc2 0.2833 0.5000 0.4334

Results
Its space group is No. 65.

---

Entry x
Sm2Tm3Sc2 after structural relaxation, computed with PBE-GGA.

a = 4.9214 Å, b = 5.9736 Å, c = 7.7513 Å
α = 97.63°, β = 90.00°, γ = 114.33°
Atoms (fractional coordinates):
Sm1 0.9268 0.8537 0.2776
Sm2 0.0732 0.1463 0.7224
Tm1 0.5000 0.0000 0.0000
Tm2 0.6436 0.2872 0.4290
Tm3 0.3564 0.7128 0.5710
Sc1 0.7849 0.5698 0.8587
Sc2 0.2151 0.4302 0.1413

Results
Its space group is No. 12.

---

What should be chosen as the most stable of them? Choose entry w.

---

Entry w
Sm4Tm4Sc after structural relaxation, computed with PBE-GGA.

a = 5.2634 Å, b = 5.2634 Å, c = 12.1956 Å
α = 102.46°, β = 102.46°, γ = 90.00°
Last column: magnetic moment on the atom in μB.
Atoms (fractional coordinates):
Sm1 0.6272 0.6272 0.7485  0.12
Sm2 0.3728 0.8787 0.2515  0.12
Sm3 0.1213 0.1213 0.7485  0.12
Sm4 0.8787 0.3728 0.2515  0.12
Tm1 0.5000 0.0000 0.0000  0.04
Tm2 0.0000 0.5000 0.0000  0.04
Tm3 0.2518 0.2518 0.5035  0.24
Tm4 0.7482 0.7482 0.4965  0.24
Sc1 0.0000 0.0000 0.0000  -0.03

Results
Its space group is No. 121.

---

Entry x
Sm4Tm4Sc after structural relaxation, computed with PBE-GGA.

a = 4.9855 Å, b = 7.8901 Å, c = 7.8901 Å
α = 84.27°, β = 71.58°, γ = 71.58°
Atoms (fractional coordinates):
Sm1 0.6709 0.3291 0.3291
Sm2 0.3291 0.6709 0.6709
Sm3 0.0000 0.6709 0.3291
Sm4 0.0000 0.3291 0.6709
Tm1 0.6640 0.6719 0.0002
Tm2 0.3360 0.3281 0.9998
Tm3 0.6641 0.9998 0.6719
Tm4 0.3359 0.0002 0.3281
Sc1 0.0000 0.0000 0.0000

Results
Its space group is No. 139.

---

What should be chosen as the most stable of them? Choose entry x.

---

Entry w
SmTm4Sc4 after structural relaxation, computed with PBE-GGA.

a = 6.7241 Å, b = 6.7241 Å, c = 11.7347 Å
α = 90.00°, β = 90.00°, γ = 90.00°
Atoms (fractional coordinates):
Sm1 0.0000 0.0000 0.0000
Sm2 0.5000 0.5000 0.5000
Tm1 0.5000 0.7585 0.7736
Tm2 0.5000 0.2415 0.7736
Tm3 0.7585 0.5000 0.2264
Tm4 0.2415 0.5000 0.2264
Tm5 0.2585 0.0000 0.2736
Tm6 0.7415 0.0000 0.2736
Tm7 0.0000 0.2585 0.7264
Tm8 0.0000 0.7415 0.7264
Sc1 0.2181 0.5000 0.9434
Sc2 0.7819 0.5000 0.9434
Sc3 0.5000 0.7819 0.0566
Sc4 0.5000 0.2181 0.0566
Sc5 0.0000 0.7181 0.4434
Sc6 0.0000 0.2819 0.4434
Sc7 0.2819 0.0000 0.5566
Sc8 0.7181 0.0000 0.5566

Results
Its space group is No. 137.

---

Entry x
SmTm4Sc4 after structural relaxation, computed with PBE-GGA.

a = 4.7972 Å, b = 7.6127 Å, c = 7.6127 Å
α = 84.30°, β = 71.63°, γ = 71.63°
Atoms (fractional coordinates):
Sm1 0.0000 0.0000 0.0000
Tm1 0.6698 0.3302 0.3302
Tm2 0.3302 0.6698 0.6698
Tm3 0.0000 0.6698 0.3302
Tm4 0.0000 0.3302 0.6698
Sc1 0.6678 0.6645 0.0000
Sc2 0.3322 0.3355 0.0000
Sc3 0.6678 0.0000 0.6645
Sc4 0.3322 0.0000 0.3355

Results
Its space group is No. 139.

---

What should be chosen as the most stable of them? Choose entry x.

---

Entry w
SmTm8Sc2 after structural relaxation, computed with PBE-GGA.

a = 5.2903 Å, b = 8.0308 Å, c = 9.1137 Å
α = 116.14°, β = 106.87°, γ = 90.00°
Atoms (fractional coordinates):
Sm1 0.5000 0.0000 0.0000
Tm1 0.6434 0.8496 0.2868
Tm2 0.3566 0.5629 0.7133
Tm3 0.1638 0.1638 0.3276
Tm4 0.0000 0.2987 0.0000
Tm5 0.8362 0.8362 0.6724
Tm6 0.6434 0.4371 0.2867
Tm7 0.3566 0.1504 0.7132
Tm8 0.0000 0.7013 0.0000
Sc1 0.2003 0.7003 0.4007
Sc2 0.7997 0.2997 0.5993

Results
Its space group is No. 71.

---

Entry x
SmTm8Sc2 after structural relaxation, computed with PBE-GGA.

a = 4.8854 Å, b = 7.7499 Å, c = 9.1544 Å
α = 104.82°, β = 105.48°, γ = 90.00°
Atoms (fractional coordinates):
Sm1 0.5000 0.0000 0.0000
Tm1 0.4059 0.5415 0.8117
Tm2 0.6831 0.9107 0.3663
Tm3 0.8604 0.8098 0.7208
Tm4 0.9526 0.2736 0.9052
Tm5 0.1396 0.1902 0.2792
Tm6 0.3169 0.0893 0.6337
Tm7 0.5941 0.4585 0.1883
Tm8 0.0474 0.7264 0.0948
Sc1 0.7718 0.3654 0.5436
Sc2 0.2282 0.6346 0.4564

Results
Its space group is No. 12.

---

What should be chosen as the most stable of them? Choose entry x.

---

Entry w
SmTm7Sc3 after structural relaxation, computed with PBE-GGA.

a = 8.1980 Å, b = 6.8837 Å, c = 6.8837 Å
α = 120.00°, β = 90.00°, γ = 90.00°
Atoms (fractional coordinates):
Sm1 0.4501 0.3333 0.6667
Tm1 0.1082 0.1679 0.8321
Tm2 0.1082 0.1679 0.3359
Tm3 0.1147 0.6667 0.3333
Tm4 0.4576 0.8319 0.1681
Tm5 0.4576 0.3361 0.1681
Tm6 0.4576 0.8319 0.6639
Tm7 0.1082 0.6641 0.8321
Sc1 0.7844 0.5010 0.4990
Sc2 0.7844 0.5010 0.0020
Sc3 0.7844 0.9980 0.4990

Results
Its space group is No. 156.

---

Entry x
SmTm7Sc3 after structural relaxation, computed with PBE-GGA.

a = 9.5395 Å, b = 9.5395 Å, c = 12.7754 Å
α = 79.37°, β = 79.37°, γ = 139.19°
Atoms (fractional coordinates):
Sm1 0.5000 0.5000 0.0000
Sm2 0.5000 0.5000 0.5000
Tm1 0.0959 0.9131 0.2504
Tm2 0.0869 0.9041 0.7496
Tm3 0.1216 0.4472 0.4629
Tm4 0.1226 0.4481 0.9635
Tm5 0.5519 0.8774 0.0365
Tm6 0.5528 0.8784 0.5371
Tm7 0.4945 0.4945 0.7505
Tm8 0.5055 0.5055 0.2495
Tm9 0.4481 0.1226 0.9635
Tm10 0.4472 0.1216 0.4629
Tm11 0.8774 0.5519 0.0365
Tm12 0.8784 0.5528 0.5371
Tm13 0.9131 0.0959 0.2504
Tm14 0.9041 0.0869 0.7496
Sc1 0.9999 0.4971 0.7503
Sc2 0.0000 0.0000 0.0000
Sc3 0.0000 0.0000 0.5000
Sc4 0.5029 0.0001 0.2497
Sc5 0.4971 0.9999 0.7503
Sc6 0.0001 0.5029 0.2497

Results
Its space group is No. 12.

---

What should be chosen as the most stable of them? Choose entry x.